(1)
VASP calculation (GGA-PBE) on crystalline Li2CaEr2Pb2 at its relaxed geometry.

Lattice parameters (Å, degrees): 4.862 4.862 9.526 75.21 75.21 60.00
Element x y z (fractional)
Li 0.412 0.412 0.765
Er 0.869 0.869 0.392
Pb 0.743 0.743 0.772
Li 0.588 0.588 0.235
Er 0.131 0.131 0.608
Ca 0.000 0.000 0.000
Pb 0.257 0.257 0.228

---

(2)
VASP calculation (GGA-PBE) on crystalline LiCaErPd at its relaxed geometry.

Lattice parameters (Å, degrees): 5.042 5.042 5.042 60.00 60.00 60.00
Element x y z (fractional)
Li 0.750 0.750 0.750
Er 0.000 0.000 0.000
Ca 0.500 0.500 0.500
Pd 0.250 0.250 0.250

---

(3)
VASP calculation (GGA-PBE) on crystalline LiCaErPt at its relaxed geometry.

Lattice parameters (Å, degrees): 4.970 4.970 4.970 60.00 60.00 60.00
Element x y z (fractional)
Er 0.000 0.000 0.000
Li 0.250 0.250 0.250
Pt 0.750 0.750 0.750
Ca 0.500 0.500 0.500

---

(4)
VASP calculation (GGA-PBE) on crystalline LiCaErRh at its relaxed geometry.

Lattice parameters (Å, degrees): 4.945 4.945 4.945 60.00 60.00 60.00
Element x y z (fractional)
Er 0.500 0.500 0.500
Li 0.250 0.250 0.250
Rh 0.750 0.750 0.750
Ca 0.000 0.000 0.000

---

(5)
VASP calculation (GGA-PBE) on crystalline LiCa3Er3S8 at its relaxed geometry.

The value obtained for the uncorrected formation energy is -1.97 eV per atom.

Lattice parameters (Å, degrees): 7.822 7.822 7.913 119.62 90.00 120.00
Element x y z (fractional)
S 0.244 0.988 0.732
S 0.756 0.012 0.268
S 0.253 0.506 0.260
Er 0.000 0.500 0.500
Li 0.000 0.000 0.500
S 0.744 0.988 0.732
S 0.244 0.488 0.732
Er 0.500 0.000 0.500
Ca 0.000 0.000 0.000
S 0.756 0.512 0.268
Ca 0.000 0.500 0.000
Ca 0.500 0.500 0.000
S 0.747 0.494 0.740
S 0.256 0.012 0.268
Er 0.500 0.500 0.500

---

(6)
VASP calculation (GGA-PBE) on crystalline LiCaErS3 at its relaxed geometry.

The value obtained for the uncorrected formation energy is -1.88 eV per atom.

Lattice parameters (Å, degrees): 3.893 8.103 8.395 102.17 90.00 90.00
Element x y z (fractional)
S 0.250 0.109 0.868
S 0.750 0.891 0.132
Ca 0.250 0.184 0.229
S 0.750 0.430 0.165
Li 0.250 0.085 0.584
S 0.750 0.215 0.504
S 0.250 0.570 0.835
Ca 0.750 0.816 0.771
Er 0.250 0.667 0.171
S 0.250 0.785 0.496
Er 0.750 0.333 0.829
Li 0.750 0.915 0.416

---

| no. | magnetization (μB/f.u.) | E (eV/atom) |
| --- | --- | --- |
| 1 | 0.00 | -3.523 |
| 2 | 0.00 | -3.775 |
| 3 | 0.00 | -4.226 |
| 4 | 0.00 | -4.313 |
| 5 | 0.00 | -5.616 |
| 6 | 0.00 | -5.352 |